1.
Computed, not measured: a PBEsol-optimized structure of MgTi2MnAl at the meta-GGA SCAN level of DFT.

crystal system	tetragonal
ΔE_f	0.453	eV/atom
D(E_F)	0.97	states/eV per atom
magnetization	0.00	Bohr magnetons per cell

Cell: 4.355 4.355 4.815 Å, 90.00 90.00 90.00°
Space group P4/mmm (No. 123)
Asymmetric unit:
1 Mg 0.000 0.000 0.000 x1
2 Ti 0.000 0.500 0.500 x2
3 Mn 0.000 0.000 0.500 x1
4 Al 0.500 0.500 0.000 x1

=====

2.
Computed, not measured: a PBEsol-optimized structure of Mg2AlMo at the meta-GGA SCAN level of DFT.

crystal system	trigonal
ΔE_f	0.171	eV/atom
D(E_F)	0.64	states/eV per atom
magnetization	0.00	Bohr magnetons per cell

Cell: 2.9321 2.9321 28.7283 Å, 90.00 90.00 120.00°
Space group R3m (No. 160, hexagonal axes)
Asymmetric unit:
1 Mg 0.0000 0.0000 0.0000 x3
2 Mg 0.0000 0.0000 0.2408 x3
3 Al 0.0000 0.0000 0.4883 x3
4 Mo 0.0000 0.0000 0.7480 x3

=====

3.
Computed, not measured: a PBEsol-optimized structure of MgAlMo3 at the meta-GGA SCAN level of DFT.

crystal system	cubic
ΔE_f	2.015	eV/atom
D(E_F)	0.59	states/eV per atom
magnetization	2.83	Bohr magnetons per cell

Cell: 4.512 4.512 4.512 Å, 90.00 90.00 90.00°
Space group Pm-3m (No. 221)
Asymmetric unit:
1 Mg 0.000 0.000 0.000 x1
2 Al 0.500 0.500 0.500 x1
3 Mo 0.000 0.000 0.500 x3

=====

4.
Computed, not measured: a PBEsol-optimized structure of Mg2AlMo at the meta-GGA SCAN level of DFT.

crystal system	monoclinic
ΔE_f	0.146	eV/atom
D(E_F)	0.70	states/eV per atom
magnetization	0.00	Bohr magnetons per cell

Cell: 2.795 4.430 5.728 Å, 90.00 103.09 90.00°
Space group Pm (No. 6)
Asymmetric unit:
1 Mg 0.000 0.000 0.000 x1
2 Mg 0.348 0.500 0.757 x1
3 Al 0.371 0.000 0.462 x1
4 Mo 0.721 0.500 0.283 x1

=====

5.
Computed, not measured: a PBEsol-optimized structure of Mg2Al3MoS8 at the meta-GGA SCAN level of DFT.

crystal system	trigonal
uncorrected formation energy	-1.264	eV per atom
magnetization	9.00	Bohr magnetons per cell

Cell: 7.1728 7.1728 17.9126 Å, 90.00 90.00 120.00°
Space group R-3m (No. 166, hexagonal axes)
Asymmetric unit:
1 Mg 0.0000 0.0000 0.1267 x6
2 Al 0.0000 0.5000 0.0000 x9
3 Mo 0.0000 0.0000 0.5000 x3
4 S 0.0000 0.0000 0.2622 x6
5 S 0.0301 0.5151 0.2559 x18

=====

6.
Computed, not measured: a PBEsol-optimized structure of MgAlMoSe2 at the meta-GGA SCAN level of DFT.

crystal system	tetragonal
uncorrected formation energy	0.345	eV per atom
D(E_F)	0.35	states/eV per atom
magnetization	0.00	Bohr magnetons per cell

Cell: 4.823 4.823 5.176 Å, 90.00 90.00 90.00°
Space group P4/mmm (No. 123)
Asymmetric unit:
1 Mg 0.000 0.000 0.000 x1
2 Al 0.500 0.500 0.000 x1
3 Mo 0.000 0.000 0.500 x1
4 Se 0.000 0.500 0.500 x2

=====

7.
Computed, not measured: a PBEsol-optimized structure of Rb2MgAlN at the meta-GGA SCAN level of DFT.

crystal system	tetragonal
uncorrected formation energy	0.190	eV per atom
D(E_F)	0.51	states/eV per atom
magnetization	0.00	Bohr magnetons per cell

Cell: 7.265 7.265 3.506 Å, 90.00 90.00 90.00°
Space group P4/mmm (No. 123)
Asymmetric unit:
1 Rb 0.000 0.500 0.000 x2
2 Mg 0.000 0.000 0.500 x1
3 Al 0.500 0.500 0.000 x1
4 N 0.500 0.500 0.500 x1

=====

8.
Computed, not measured: a PBEsol-optimized structure of MgAlSN2 at the meta-GGA SCAN level of DFT.

crystal system	tetragonal
uncorrected formation energy	0.986	eV per atom
D(E_F)	0.36	states/eV per atom
magnetization	3.71	Bohr magnetons per cell

Cell: 3.860 3.860 5.010 Å, 90.00 90.00 90.00°
Space group P4/mmm (No. 123)
Asymmetric unit:
1 Mg 0.000 0.000 0.000 x1
2 Al 0.500 0.500 0.500 x1
3 S 0.000 0.000 0.500 x1
4 N 0.000 0.500 0.000 x2

=====

9.
Computed, not measured: a PBEsol-optimized structure of MgAlSeN2 at the meta-GGA SCAN level of DFT.

crystal system	tetragonal
uncorrected formation energy	0.965	eV per atom
D(E_F)	0.27	states/eV per atom
magnetization	3.83	Bohr magnetons per cell

Cell: 3.925 3.925 5.303 Å, 90.00 90.00 90.00°
Space group P4/mmm (No. 123)
Asymmetric unit:
1 Mg 0.000 0.000 0.000 x1
2 Al 0.500 0.500 0.500 x1
3 Se 0.000 0.000 0.500 x1
4 N 0.000 0.500 0.000 x2

=====

10.
Computed, not measured: a PBEsol-optimized structure of MgAl2ZnN at the meta-GGA SCAN level of DFT.

crystal system	tetragonal
uncorrected formation energy	1.064	eV per atom
D(E_F)	0.36	states/eV per atom
magnetization	0.00	Bohr magnetons per cell

Cell: 5.252 5.252 3.713 Å, 90.00 90.00 90.00°
Space group P4/mmm (No. 123)
Asymmetric unit:
1 Mg 0.000 0.000 0.000 x1
2 Al 0.000 0.500 0.000 x2
3 Zn 0.500 0.500 0.500 x1
4 N 0.000 0.000 0.500 x1

=====

11.
Computed, not measured: a PBEsol-optimized structure of NaMg16Al12 at the meta-GGA SCAN level of DFT.

crystal system	cubic
ΔE_f	-0.017	eV/atom
offset from the most stable computed form	0	meV per atom
D(E_F)	0.36	states/eV per atom
magnetization	0.00	Bohr magnetons per cell

Cell: 10.488 10.488 10.488 Å, 90.00 90.00 90.00°
Space group I-43m (No. 217)
Asymmetric unit:
1 Na 0.000 0.000 0.000 x2
2 Mg 0.042 0.358 0.642 x24
3 Mg 0.173 0.173 0.173 x8
4 Al 0.091 0.091 0.722 x24

=====

12.
Computed, not measured: a PBEsol-optimized structure of NaMg16Al12 at the meta-GGA SCAN level of DFT.

crystal system	monoclinic
ΔE_f	-0.006	eV/atom
offset from the most stable computed form	11	meV per atom
D(E_F)	0.38	states/eV per atom
magnetization	0.00	Bohr magnetons per cell

Cell: 10.510 14.774 9.106 Å, 90.00 125.24 90.00°
Space group Cm (No. 8)
Asymmetric unit:
1 Na 0.000 0.000 0.000 x2
2 Mg 0.055 0.144 0.281 x4
3 Mg 0.080 0.200 0.963 x4
4 Mg 0.096 0.500 0.624 x2
5 Mg 0.097 0.500 0.280 x2
6 Mg 0.151 0.157 0.678 x4
7 Mg 0.252 0.342 0.881 x4
8 Mg 0.256 0.000 0.938 x2
9 Mg 0.268 0.327 0.279 x4
10 Mg 0.280 0.000 0.565 x2
11 Mg 0.396 0.199 0.596 x4
12 Al 0.001 0.407 0.912 x4
13 Al 0.096 0.316 0.464 x4
14 Al 0.275 0.500 0.098 x2
15 Al 0.323 0.092 0.284 x4
16 Al 0.367 0.406 0.641 x4
17 Al 0.411 0.184 0.094 x4
18 Al 0.462 0.500 0.458 x2

=====

13.
Computed, not measured: a PBEsol-optimized structure of NaMg30AlO32 at the meta-GGA SCAN level of DFT.

crystal system	tetragonal
uncorrected formation energy	-2.992	eV per atom
D(E_F)	0.00	states/eV per atom
magnetization	0.00	Bohr magnetons per cell

Cell: 8.442 8.442 8.432 Å, 90.00 90.00 90.00°
Space group P4/mmm (No. 123)
Asymmetric unit:
1 Na 0.000 0.000 0.000 x1
2 Mg 0.000 0.250 0.247 x8
3 Mg 0.000 0.500 0.000 x2
4 Mg 0.000 0.500 0.500 x2
5 Mg 0.249 0.249 0.000 x4
6 Mg 0.250 0.250 0.500 x4
7 Mg 0.250 0.500 0.249 x8
8 Mg 0.500 0.500 0.000 x1
9 Mg 0.500 0.500 0.500 x1
10 Al 0.000 0.000 0.500 x1
11 O 0.000 0.000 0.276 x2
12 O 0.000 0.238 0.500 x4
13 O 0.000 0.261 0.000 x4
14 O 0.000 0.500 0.255 x4
15 O 0.248 0.500 0.500 x4
16 O 0.250 0.250 0.251 x8
17 O 0.252 0.500 0.000 x4
18 O 0.500 0.500 0.252 x2

=====

14.
Computed, not measured: a PBEsol-optimized structure of NaMg14AlO16 at the meta-GGA SCAN level of DFT.

crystal system	tetragonal
uncorrected formation energy	-2.944	eV per atom
offset from the most stable computed form	14	meV per atom
D(E_F)	0.00	states/eV per atom
magnetization	0.00	Bohr magnetons per cell

Cell: 8.442 8.442 4.230 Å, 90.00 90.00 90.00°
Space group P4/mmm (No. 123)
Asymmetric unit:
1 Na 0.000 0.000 0.000 x1
2 Mg 0.000 0.245 0.500 x4
3 Mg 0.000 0.500 0.000 x2
4 Mg 0.246 0.246 0.000 x4
5 Mg 0.248 0.500 0.500 x4
6 Al 0.500 0.500 0.000 x1
7 O 0.000 0.000 0.500 x1
8 O 0.000 0.267 0.000 x4
9 O 0.000 0.500 0.500 x2
10 O 0.252 0.252 0.500 x4
11 O 0.272 0.500 0.000 x4
12 O 0.500 0.500 0.500 x1

=====

15.
Computed, not measured: a PBEsol-optimized structure of NaMg14AlO16 at the meta-GGA SCAN level of DFT.

crystal system	orthorhombic
uncorrected formation energy	-2.958	eV per atom
offset from the most stable computed form	0	meV per atom
D(E_F)	0.00	states/eV per atom
magnetization	0.00	Bohr magnetons per cell

Cell: 4.231 8.424 8.445 Å, 90.00 90.00 90.00°
Space group Pmmm (No. 47)
Asymmetric unit:
1 Na 0.000 0.000 0.000 x1
2 Mg 0.000 0.000 0.500 x1
3 Mg 0.000 0.246 0.250 x4
4 Mg 0.000 0.500 0.500 x1
5 Mg 0.500 0.000 0.247 x2
6 Mg 0.500 0.245 0.000 x2
7 Mg 0.500 0.248 0.500 x2
8 Mg 0.500 0.500 0.250 x2
9 Al 0.000 0.500 0.000 x1
10 O 0.000 0.000 0.263 x2
11 O 0.000 0.257 0.500 x2
12 O 0.000 0.280 0.000 x2
13 O 0.000 0.500 0.235 x2
14 O 0.500 0.000 0.000 x1
15 O 0.500 0.000 0.500 x1
16 O 0.500 0.252 0.249 x4
17 O 0.500 0.500 0.000 x1
18 O 0.500 0.500 0.500 x1

=====

16.
Computed, not measured: a PBEsol-optimized structure of Na3MgAlSi7O18 at the meta-GGA SCAN level of DFT.

crystal system	monoclinic
uncorrected formation energy	-2.949	eV per atom
D(E_F)	0.00	states/eV per atom
magnetization	0.50	Bohr magnetons per cell

Cell: 27.063 8.597 5.266 Å, 90.00 94.07 90.00°
Space group C2 (No. 5)
Asymmetric unit:
1 Na 0.000 0.000 0.000 x2
2 Na 0.000 0.401 0.500 x2
3 Na 0.166 0.905 0.833 x4
4 Na 0.168 0.506 0.337 x4
5 Mg 0.166 0.111 0.333 x4
6 Al 0.000 0.608 0.000 x2
7 Al 0.000 0.795 0.500 x2
8 Si 0.070 0.112 0.624 x4
9 Si 0.070 0.300 0.110 x4
10 Si 0.096 0.793 0.215 x4
11 Si 0.098 0.606 0.717 x4
12 Si 0.167 0.297 0.834 x4
13 Si 0.236 0.612 0.953 x4
14 Si 0.237 0.798 0.444 x4
15 O 0.035 0.773 0.197 x4
16 O 0.037 0.622 0.693 x4
17 O 0.046 0.214 0.852 x4
18 O 0.046 0.469 0.136 x4
19 O 0.047 0.941 0.634 x4
20 O 0.053 0.202 0.357 x4
21 O 0.116 0.965 0.191 x4
22 O 0.118 0.689 0.983 x4
23 O 0.118 0.707 0.479 x4
24 O 0.124 0.437 0.694 x4
25 O 0.130 0.138 0.674 x4
26 O 0.131 0.293 0.110 x4
27 O 0.202 0.288 0.558 x4
28 O 0.203 0.138 0.001 x4
29 O 0.210 0.441 0.971 x4
30 O 0.213 0.714 0.183 x4
31 O 0.217 0.969 0.478 x4
32 O 0.218 0.695 0.683 x4